[1]
This record from Alexandria via LeMat-Bulk describes a relaxed Nb14AlSn crystal. The functional is GGA-PBE.

Cell lengths 6.6597, 6.6597, 6.6176 Å; angles 90.00, 90.00, 90.00 degrees
Element x y z (fractional)
Nb: 0.0000 0.0000 0.0000
Nb: 0.0000 0.5000 0.0000
Nb: 0.0000 0.5000 0.5000
Nb: 0.2465 0.2465 0.2409
Nb: 0.2465 0.2465 0.7591
Nb: 0.2465 0.7535 0.2409
Nb: 0.2465 0.7535 0.7591
Nb: 0.5000 0.0000 0.0000
Nb: 0.5000 0.0000 0.5000
Nb: 0.5000 0.5000 0.0000
Nb: 0.7535 0.2465 0.2409
Nb: 0.7535 0.2465 0.7591
Nb: 0.7535 0.7535 0.2409
Nb: 0.7535 0.7535 0.7591
Al: 0.0000 0.0000 0.5000
Sn: 0.5000 0.5000 0.5000

=====

[2]
This record from Alexandria via LeMat-Bulk describes a relaxed Nb2AlSn crystal. The functional is GGA-PBE.

**Distance to the lowest polymorph of the same formula**: 0.365 eV/atom

Cell lengths 10.5165, 10.5165, 10.5165 Å; angles 158.12, 158.12, 31.13 degrees
Element x y z (fractional)
Nb: 0.1187 0.6250 0.9937
Nb: 0.3750 0.3687 0.4937
Nb: 0.6313 0.1250 0.0063
Nb: 0.8750 0.8813 0.5063
Al: 0.0000 0.0000 0.0000
Al: 0.7500 0.2500 0.5000
Sn: 0.2500 0.7500 0.5000
Sn: 0.5000 0.5000 0.0000

=====

[3]
This record from Alexandria via LeMat-Bulk describes a relaxed Nb2AlSn2 crystal. The functional is GGA-PBE.

**Distance to the lowest polymorph of the same formula**: 0.239 eV/atom

Cell lengths 7.2864, 7.2864, 3.7858 Å; angles 90.00, 90.00, 90.00 degrees
Element x y z (fractional)
Nb: 0.1587 0.3413 0.0000
Nb: 0.3413 0.8413 0.0000
Nb: 0.6587 0.1587 0.0000
Nb: 0.8413 0.6587 0.0000
Al: 0.0000 0.0000 0.5000
Al: 0.5000 0.5000 0.5000
Sn: 0.1424 0.6424 0.5000
Sn: 0.3576 0.1424 0.5000
Sn: 0.6424 0.8576 0.5000
Sn: 0.8576 0.3576 0.5000

=====

[4]
This record from Alexandria via LeMat-Bulk describes a relaxed Nb2AlSn crystal. The functional is GGA-PBE.

**Distance to the lowest polymorph of the same formula**: 0.170 eV/atom

Cell lengths 4.7075, 4.7075, 4.7075 Å; angles 60.00, 60.00, 60.00 degrees
Element x y z (fractional)
Nb: 0.2500 0.2500 0.2500
Nb: 0.7500 0.7500 0.7500
Al: 0.0000 0.0000 0.0000
Sn: 0.5000 0.5000 0.5000

=====

[5]
This record from Alexandria via LeMat-Bulk describes a relaxed Nb2AlSn crystal. The functional is GGA-PBE.

**Distance to the lowest polymorph of the same formula**: 0.000 eV/atom

Cell lengths 4.1146, 4.1146, 4.3444 Å; angles 90.00, 90.00, 90.00 degrees
Element x y z (fractional)
Nb: 0.0000 0.5000 0.0000
Nb: 0.5000 0.0000 0.0000
Al: 0.0000 0.0000 0.5000
Sn: 0.5000 0.5000 0.5000

=====

[6]
This record from Alexandria via LeMat-Bulk describes a relaxed NbAlSn3 crystal. The functional is GGA-PBE.

**Distance to the lowest polymorph of the same formula**: 0.625 eV/atom

Cell lengths 5.1426, 5.1426, 5.1426 Å; angles 90.00, 90.00, 90.00 degrees
Element x y z (fractional)
Nb: 0.0000 0.0000 0.0000
Al: 0.5000 0.5000 0.5000
Sn: 0.0000 0.5000 0.5000
Sn: 0.5000 0.0000 0.5000
Sn: 0.5000 0.5000 0.0000

=====

[7]
This record from Alexandria via LeMat-Bulk describes a relaxed NbAl3Sn crystal. The functional is GGA-PBE.

**Distance to the lowest polymorph of the same formula**: 0.000 eV/atom

Cell lengths 5.0392, 5.0392, 5.0392 Å; angles 90.00, 90.00, 90.00 degrees
Element x y z (fractional)
Nb: 0.0000 0.0000 0.0000
Al: 0.0000 0.0000 0.5000
Al: 0.0000 0.5000 0.0000
Al: 0.5000 0.0000 0.0000
Sn: 0.5000 0.5000 0.5000

=====

[8]
This record from Alexandria via LeMat-Bulk describes a relaxed NbAlSn3 crystal. The functional is GGA-PBE.

**Distance to the lowest polymorph of the same formula**: 0.000 eV/atom

Cell lengths 5.3877, 5.3877, 5.3877 Å; angles 90.00, 90.00, 90.00 degrees
Element x y z (fractional)
Nb: 0.0000 0.0000 0.0000
Al: 0.5000 0.5000 0.5000
Sn: 0.0000 0.0000 0.5000
Sn: 0.0000 0.5000 0.0000
Sn: 0.5000 0.0000 0.0000

=====

[9]
This record from Alexandria via LeMat-Bulk describes a relaxed NbAlSn crystal. The functional is GGA-PBE.

Cell lengths 4.7963, 4.7963, 2.8517 Å; angles 90.00, 90.00, 120.00 degrees
Element x y z (fractional)
Nb: 0.0000 0.0000 0.0000
Al: 0.3333 0.6667 0.5000
Sn: 0.6667 0.3333 0.5000

=====

[10]
This record from Alexandria via LeMat-Bulk describes a relaxed Nb2AlSn2 crystal. The functional is GGA-PBE.

**Distance to the lowest polymorph of the same formula**: 0.000 eV/atom

Cell lengths 7.1364, 7.1364, 4.0415 Å; angles 90.00, 90.00, 90.00 degrees
Element x y z (fractional)
Nb: 0.1522 0.3478 0.0000
Nb: 0.3478 0.8478 0.0000
Nb: 0.6522 0.1522 0.0000
Nb: 0.8478 0.6522 0.0000
Al: 0.0000 0.0000 0.0000
Al: 0.5000 0.5000 0.0000
Sn: 0.1522 0.6522 0.5000
Sn: 0.3478 0.1522 0.5000
Sn: 0.6522 0.8478 0.5000
Sn: 0.8478 0.3478 0.5000

=====

[11]
This record from Alexandria via LeMat-Bulk describes a relaxed TiNb2AlSn crystal. The functional is GGA-PBE.

Cell lengths 4.7585, 4.7585, 4.6444 Å; angles 90.00, 90.00, 90.00 degrees
Element x y z (fractional)
Ti: 0.0000 0.0000 0.0000
Nb: 0.0000 0.5000 0.5000
Nb: 0.5000 0.0000 0.5000
Al: 0.0000 0.0000 0.5000
Sn: 0.5000 0.5000 0.0000

=====

[12]
This record from Alexandria via LeMat-Bulk describes a relaxed NbAlTlSn2 crystal. The functional is GGA-PBE.

Cell lengths 5.3864, 5.3864, 5.5014 Å; angles 90.00, 90.00, 90.00 degrees
Element x y z (fractional)
Nb: 0.0000 0.0000 0.0000
Al: 0.5000 0.5000 0.5000
Tl: 0.0000 0.0000 0.5000
Sn: 0.0000 0.5000 0.0000
Sn: 0.5000 0.0000 0.0000

=====

[13]
This record from Alexandria via LeMat-Bulk describes a relaxed NbAl2VSn crystal. The functional is GGA-PBE.

Cell lengths 4.8979, 4.8979, 4.5441 Å; angles 90.00, 90.00, 90.00 degrees
Element x y z (fractional)
Nb: 0.0000 0.0000 0.0000
Al: 0.0000 0.5000 0.5000
Al: 0.5000 0.0000 0.5000
V: 0.0000 0.0000 0.5000
Sn: 0.5000 0.5000 0.0000

=====

[14]
This record from Alexandria via LeMat-Bulk describes a relaxed Nb3AlV3Sn crystal. The functional is GGA-PBE.

Cell lengths 5.1023, 5.1023, 5.1023 Å; angles 91.60, 91.60, 91.60 degrees
Element x y z (fractional)
Nb: 0.0863 0.3251 0.5885
Nb: 0.3251 0.5885 0.0863
Nb: 0.5885 0.0863 0.3251
Al: 0.0752 0.0752 0.0752
V: 0.1024 0.8384 0.5619
V: 0.5619 0.1024 0.8384
V: 0.8384 0.5619 0.1024
Sn: 0.5990 0.5990 0.5990

=====

[15]
This record from Alexandria via LeMat-Bulk describes a relaxed Nb2AlZnSn crystal. The functional is GGA-PBE.

Cell lengths 5.1523, 5.1523, 4.6857 Å; angles 90.00, 90.00, 90.00 degrees
Element x y z (fractional)
Nb: 0.0000 0.5000 0.0000
Nb: 0.5000 0.0000 0.0000
Al: 0.0000 0.0000 0.5000
Zn: 0.5000 0.5000 0.5000
Sn: 0.5000 0.5000 0.0000

=====

[16]
This record from Alexandria via LeMat-Bulk describes a relaxed SrNb2Al crystal. The functional is GGA-PBE.

Cell lengths 10.6254, 10.6254, 10.6254 Å; angles 154.80, 154.80, 35.94 degrees
Element x y z (fractional)
Sr: 0.0000 0.0000 0.0000
Sr: 0.7500 0.2500 0.5000
Nb: 0.2840 0.6250 0.1590
Nb: 0.3750 0.5340 0.6590
Nb: 0.4660 0.1250 0.8410
Nb: 0.8750 0.7160 0.3410
Al: 0.2500 0.7500 0.5000
Al: 0.5000 0.5000 0.0000

=====

[17]
This record from Alexandria via LeMat-Bulk describes a relaxed Sr2NbAl crystal. The functional is GGA-PBE.

Cell lengths 6.9711, 6.9711, 6.9711 Å; angles 101.47, 101.47, 127.04 degrees
Element x y z (fractional)
Sr: 0.1147 0.1250 0.4897
Sr: 0.3750 0.8853 0.0103
Sr: 0.6353 0.6250 0.5103
Sr: 0.8750 0.3647 0.9897
Nb: 0.2500 0.7500 0.5000
Nb: 0.5000 0.5000 0.0000
Al: 0.0000 0.0000 0.0000
Al: 0.7500 0.2500 0.5000

=====

[18]
This record from Alexandria via LeMat-Bulk describes a relaxed TaNb12Al3 crystal. The functional is GGA-PBE.

Cell lengths 5.2142, 5.2633, 10.4220 Å; angles 90.00, 90.00, 90.00 degrees
Element x y z (fractional)
Ta: 0.0000 0.0000 0.0000
Nb: 0.0000 0.2480 0.2524
Nb: 0.0000 0.2480 0.7476
Nb: 0.0000 0.7520 0.2524
Nb: 0.0000 0.7520 0.7476
Nb: 0.2441 0.5000 0.5000
Nb: 0.2492 0.5000 0.0000
Nb: 0.5000 0.0000 0.1269
Nb: 0.5000 0.0000 0.3761
Nb: 0.5000 0.0000 0.6239
Nb: 0.5000 0.0000 0.8731
Nb: 0.7508 0.5000 0.0000
Nb: 0.7559 0.5000 0.5000
Al: 0.0000 0.0000 0.5000
Al: 0.5000 0.5000 0.2511
Al: 0.5000 0.5000 0.7489

=====

[19]
This record from Alexandria via LeMat-Bulk describes a relaxed Ta3Nb2Al crystal. The functional is GGA-PBE.

Cell lengths 4.5213, 3.4734, 7.1774 Å; angles 90.00, 108.23, 90.00 degrees
Element x y z (fractional)
Ta: 0.0000 0.0000 0.0000
Ta: 0.3303 0.0000 0.6595
Ta: 0.6697 0.0000 0.3405
Nb: 0.1604 0.5000 0.3201
Nb: 0.8396 0.5000 0.6799
Al: 0.5000 0.5000 0.0000

=====

[20]
This record from Alexandria via LeMat-Bulk describes a relaxed TaNbAl crystal. The functional is GGA-PBE.

**Distance to the lowest polymorph of the same formula**: 0.012 eV/atom

Cell lengths 6.4634, 4.9427, 5.5159 Å; angles 76.12, 47.94, 55.94 degrees
Element x y z (fractional)
Ta: 0.0000 0.0000 0.0000
Ta: 0.2500 0.2500 0.2500
Nb: 0.3276 0.3276 0.6724
Nb: 0.5776 0.5776 0.9224
Al: 0.6634 0.6634 0.3366
Al: 0.9134 0.9134 0.5866

=====

Number 1: ΔH_f (0 K) -0.07 eV per atom. Number 2: ΔH_f (0 K) 0.28 eV per atom. Number 3: ΔH_f (0 K) 0.23 eV per atom. Number 4: ΔH_f (0 K) 0.09 eV per atom. Number 5: ΔH_f (0 K) -0.08 eV per atom. Number 6: ΔH_f (0 K) 1.10 eV per atom. Number 7: ΔH_f (0 K) 0.66 eV per atom. Number 8: ΔH_f (0 K) 0.48 eV per atom. Number 9: ΔH_f (0 K) 0.08 eV per atom. Number 10: ΔH_f (0 K) -0.01 eV per atom. Number 11: ΔH_f (0 K) 0.71 eV per atom. Number 12: ΔH_f (0 K) 0.55 eV per atom. Number 13: ΔH_f (0 K) 0.67 eV per atom. Number 14: ΔH_f (0 K) -0.11 eV per atom. Number 15: ΔH_f (0 K) 1.38 eV per atom. Number 16: ΔH_f (0 K) 0.79 eV per atom. Number 17: ΔH_f (0 K) 0.86 eV per atom. Number 18: ΔH_f (0 K) -0.17 eV per atom. Number 19: ΔH_f (0 K) -0.09 eV per atom. Number 20: ΔH_f (0 K) -0.14 eV per atom.